DFT (PBE) results for LaDyIrRu after structural relaxation.

abc: 4.945 4.945 4.945
angles: 60.00 60.00 60.00
Fractional coordinates of all 4 atoms:
Ru 0.250 0.250 0.250
Ir 0.750 0.750 0.750
Dy 0.000 0.000 0.000
La 0.500 0.500 0.500

Summary:
final energy: -7.3463 eV/atom
Fermi-level density of states: 2.6 states/eV per cell
V: 21.38 Å³ per atom
space-group type: F-43m (216)

***

DFT (PBE) results for La2DySn3Ir4 after structural relaxation.

abc: 4.425 4.425 11.640
angles: 90.00 90.00 90.00
Fractional coordinates of all 10 atoms:
Sn 0.000 0.000 0.500
Ir 0.500 0.500 0.000
Ir 0.000 0.000 0.000
La 0.500 0.000 0.235
Dy 0.500 0.500 0.500
Sn 0.500 0.000 0.874
Ir 0.000 0.500 0.352
La 0.000 0.500 0.765
Ir 0.500 0.000 0.648
Sn 0.000 0.500 0.126

Summary:
final energy: -6.8550 eV/atom
Fermi-level density of states: 6.0 states/eV per cell
V: 22.80 Å³ per atom
space-group type: P-4m2 (115)

***

DFT (PBE) results for LaDyTlIr after structural relaxation.

abc: 5.232 5.232 5.232
angles: 60.00 60.00 60.00
Fractional coordinates of all 4 atoms:
Dy 0.750 0.750 0.750
Ir 0.500 0.500 0.500
Tl 0.000 0.000 0.000
La 0.250 0.250 0.250

Summary:
final energy: -5.5911 eV/atom
Fermi-level density of states: 3.9 states/eV per cell
V: 25.31 Å³ per atom
space-group type: F-43m (216)

***

DFT (PBE) results for LaDyZnIr after structural relaxation.

abc: 5.061 5.061 5.061
angles: 60.00 60.00 60.00
Fractional coordinates of all 4 atoms:
Dy 0.500 0.500 0.500
La 0.000 0.000 0.000
Zn 0.250 0.250 0.250
Ir 0.750 0.750 0.750

Summary:
final energy: -5.4515 eV/atom
Fermi-level density of states: 1.8 states/eV per cell
V: 22.92 Å³ per atom
space-group type: F-43m (216)

***

DFT (PBE) results for LiDy2Ir after structural relaxation.

abc: 4.913 4.913 4.913
angles: 60.00 60.00 60.00
Fractional coordinates of all 4 atoms:
Li 0.000 0.000 0.000
Dy 0.250 0.250 0.250
Dy 0.750 0.750 0.750
Ir 0.500 0.500 0.500

Summary:
Fermi-level density of states: 2.9 states/eV per cell
E above lowest polymorph: 0 meV per atom
V: 20.97 Å³ per atom
space-group type: Fm-3m (225)

***

DFT (PBE) results for LiDy2Ir after structural relaxation.

abc: 3.624 4.827 4.827
angles: 90.00 90.00 90.00
Fractional coordinates of all 4 atoms:
Li 0.500 0.000 0.000
Dy 0.000 0.000 0.500
Dy 0.000 0.500 0.000
Ir 0.500 0.500 0.500

Summary:
Fermi-level density of states: 3.0 states/eV per cell
E above lowest polymorph: 116 meV per atom
V: 21.11 Å³ per atom
space-group type: P4/mmm (123)

***

DFT (PBE) results for LiDy2Ir after structural relaxation.

abc: 3.972 3.972 10.133
angles: 78.70 78.70 60.00
Fractional coordinates of all 4 atoms:
Ir 0.500 0.500 0.500
Dy 0.883 0.883 0.350
Li 0.000 0.000 0.000
Dy 0.117 0.117 0.650

Summary:
Fermi-level density of states: 2.8 states/eV per cell
E above lowest polymorph: 323 meV per atom
V: 33.71 Å³ per atom
space-group type: R-3m (166)

***

DFT (PBE) results for LiDy6Ir5 after structural relaxation.

abc: 4.787 7.079 7.642
angles: 90.00 71.75 90.00
Fractional coordinates of all 12 atoms:
Ir 0.670 0.500 0.660
Dy 0.500 0.740 0.000
Ir 0.330 0.500 0.340
Dy 0.500 0.260 0.000
Ir 0.660 0.000 0.680
Dy 0.170 0.252 0.660
Dy 0.170 0.748 0.660
Dy 0.830 0.748 0.340
Dy 0.830 0.252 0.340
Ir 0.340 0.000 0.320
Ir 0.000 0.500 0.000
Li 0.000 0.000 0.000

Summary:
final energy: -6.8851 eV/atom
Fermi-level density of states: 7.6 states/eV per cell
V: 20.50 Å³ per atom
space-group type: Cmmm (65)

***

DFT (PBE) results for LiDy3Ir2 after structural relaxation.

abc: 4.875 4.875 12.089
angles: 90.00 90.00 120.00
Fractional coordinates of all 12 atoms:
Ir 0.000 0.000 0.000
Dy 0.000 0.000 0.243
Ir 0.000 0.000 0.500
Dy 0.000 0.000 0.757
Li 0.333 0.667 0.670
Dy 0.667 0.333 0.077
Ir 0.333 0.667 0.173
Ir 0.667 0.333 0.827
Li 0.667 0.333 0.330
Dy 0.667 0.333 0.583
Dy 0.333 0.667 0.923
Dy 0.333 0.667 0.417

Summary:
final energy: -6.2528 eV/atom
Fermi-level density of states: 5.4 states/eV per cell
V: 20.73 Å³ per atom
space-group type: P-3m1 (164)

***

DFT (PBE) results for LiDy4Ir3 after structural relaxation.

abc: 4.890 4.890 7.757
angles: 108.38 108.37 90.00
Fractional coordinates of all 8 atoms:
Ir 0.000 0.500 0.000
Dy 0.371 0.371 0.741
Dy 0.129 0.129 0.259
Ir 0.259 0.759 0.519
Ir 0.741 0.241 0.481
Dy 0.871 0.871 0.741
Dy 0.629 0.629 0.259
Li 0.500 0.000 0.000

Summary:
final energy: -6.5565 eV/atom
Fermi-level density of states: 6.1 states/eV per cell
V: 20.76 Å³ per atom
space-group type: I4/mmm (139)

***

DFT (PBE) results for LiDy4Ir2 after structural relaxation.

abc: 4.860 4.860 8.417
angles: 73.22 73.22 60.00
Fractional coordinates of all 7 atoms:
Dy 0.621 0.621 0.136
Ir 0.252 0.252 0.243
Dy 0.872 0.872 0.383
Dy 0.379 0.379 0.864
Li 0.000 0.000 0.000
Dy 0.128 0.128 0.617
Ir 0.748 0.748 0.757

Summary:
final energy: -6.0670 eV/atom
Fermi-level density of states: 6.3 states/eV per cell
V: 23.19 Å³ per atom
space-group type: R-3m (166)

***

DFT (PBE) results for LiDy3Ir8 after structural relaxation.

abc: 5.318 5.318 9.215
angles: 73.23 73.23 60.00
Fractional coordinates of all 12 atoms:
Ir 0.938 0.938 0.685
Ir 0.938 0.437 0.187
Ir 0.437 0.437 0.187
Dy 0.994 0.994 0.018
Dy 0.376 0.376 0.872
Ir 0.439 0.938 0.685
Ir 0.688 0.688 0.936
Dy 0.505 0.505 0.486
Li 0.872 0.872 0.384
Ir 0.938 0.439 0.685
Ir 0.188 0.188 0.436
Ir 0.437 0.938 0.187

Summary:
final energy: -7.8627 eV/atom
Fermi-level density of states: 13.0 states/eV per cell
V: 17.74 Å³ per atom
space-group type: R3m (160)